# GGA+U Cs3TlNi2F9, optimized geometry
# calculated density = 5.76 g/cm³
# volume = 257.0 Å³ per cell
# E_tot = -61.61 eV per cell
# DOS(E_F) = 0.19 states/eV/atom
data_Cs3TlNi2F9
_chemical_formula_sum 'Cs3 Tl1 Ni2 F9'
_cell_length_a 6.221
_cell_length_b 6.221
_cell_length_c 7.669
_cell_angle_alpha 90.00
_cell_angle_beta 90.00
_cell_angle_gamma 120.00
_space_group_name_H-M_alt 'P 1'
_space_group_IT_number 1
loop_
_space_group_symop_operation_xyz
'x,y,z'
loop_
_atom_site_label
_atom_site_type_symbol
_atom_site_fract_x
_atom_site_fract_y
_atom_site_fract_z
F1 F 0.637 0.818 0.310
F2 F 0.818 0.637 0.690
F3 F 0.000 0.500 0.000
F4 F 0.363 0.182 0.690
F5 F 0.818 0.182 0.690
F6 F 0.182 0.818 0.310
F7 F 0.500 0.500 0.000
F8 F 0.500 0.000 0.000
F9 F 0.182 0.363 0.310
Cs1 Cs 0.333 0.667 0.671
Cs2 Cs 0.667 0.333 0.329
Cs3 Cs 0.000 0.000 0.000
Tl1 Tl 0.000 0.000 0.500
Ni1 Ni 0.333 0.667 0.151
Ni2 Ni 0.667 0.333 0.849